TaTeP2: optimized geometry, PBEsol.

Cell: 5.2353 5.2353 5.2353 Å, 135.72 135.72 64.42°
Sites, in units of the cell vectors:
Ta 0.0000 0.0000 0.0000
Te 0.7500 0.2500 0.5000
P 0.2500 0.7500 0.5000
P 0.5000 0.5000 0.0000

Calculated values
The spin magnetization comes out at 0.00 μB per atom. The crystal system is tetragonal. As for the total energy: -6.477 eV/atom. The formation energy without anion corrections comes out at 0.438 eV/atom. The value obtained for the calculated volume is 69.0 Å³ per cell.